First-principles (PBE) data for an optimized crystal structure of TiBeCoRh, as listed in Alexandria via LeMat-Bulk.

The calculation puts the energy above the most stable polymorph in this dataset at 0.0 meV per atom. The total magnetization comes out at 0.0 μB/f.u. The density of states at the Fermi level comes out at 0.23 states/eV per atom. The formation energy comes out at -590.1 meV per atom.

The space group is F-43m (No. 216) and the conventional cell measures 5.7721, 5.7721 and 5.7721 Å, with angles of 90.00, 90.00 and 90.00 degrees. The distinct sites, in fractional coordinates, are Ti at (0.0000, 0.0000, 0.0000), Be at (0.0000, 0.0000, 0.5000), Co at (0.2500, 0.2500, 0.2500) and Rh at (0.2500, 0.2500, 0.7500).



First-principles (PBE) data for an optimized crystal structure of Ti4BeCo2Rh, as listed in Alexandria via LeMat-Bulk.

The total magnetization comes out at 2.5 μB/f.u. The density of states at the Fermi level comes out at 0.68 states/eV per atom. The formation energy comes out at -400.9 meV per atom.

The space group is R-3m (No. 166, hexagonal axes) and the conventional cell measures 4.2472, 4.2472 and 21.0321 Å, with angles of 90.00, 90.00 and 120.00 degrees. The distinct sites, in fractional coordinates, are Ti at (0.0000, 0.0000, 0.1226), Ti at (0.0000, 0.0000, 0.3728), Be at (0.0000, 0.0000, 0.0000), Co at (0.0000, 0.0000, 0.2547) and Rh at (0.0000, 0.0000, 0.5000).



First-principles (PBE) data for an optimized crystal structure of TiBeCoRh, as listed in Alexandria via LeMat-Bulk.

The calculation puts the energy above the most stable polymorph in this dataset at 13.9 meV per atom. The total magnetization comes out at 0.2 μB/f.u. The density of states at the Fermi level comes out at 0.30 states/eV per atom. The formation energy comes out at -576.2 meV per atom.

The space group is P4mm (No. 99) and the conventional cell measures 2.9354, 2.9354 and 5.5612 Å, with angles of 90.00, 90.00 and 90.00 degrees. The distinct sites, in fractional coordinates, are Ti at (0.0000, 0.0000, 0.0000), Be at (0.0000, 0.0000, 0.4762), Co at (0.5000, 0.5000, 0.2478) and Rh at (0.5000, 0.5000, 0.7104).



First-principles (PBE) data for an optimized crystal structure of BeTlCoRh2, as listed in Alexandria via LeMat-Bulk.

The total magnetization comes out at 2.6 μB/f.u. The density of states at the Fermi level comes out at 0.87 states/eV per atom. The formation energy comes out at 1781.4 meV per atom.

The space group is P4/mmm (No. 123) and the conventional cell measures 4.9736, 4.9736 and 4.3361 Å, with angles of 90.00, 90.00 and 90.00 degrees. The distinct sites, in fractional coordinates, are Be at (0.0000, 0.0000, 0.0000), Tl at (0.0000, 0.0000, 0.5000), Co at (0.5000, 0.5000, 0.0000) and Rh at (0.0000, 0.5000, 0.5000).



First-principles (PBE) data for an optimized crystal structure of Be2TlCoRh, as listed in Alexandria via LeMat-Bulk.

The total magnetization comes out at 2.2 μB/f.u. The density of states at the Fermi level comes out at 0.63 states/eV per atom. The formation energy comes out at 587.7 meV per atom.

The space group is P4/mmm (No. 123) and the conventional cell measures 4.2267, 4.2267 and 4.7595 Å, with angles of 90.00, 90.00 and 90.00 degrees. The distinct sites, in fractional coordinates, are Be at (0.0000, 0.5000, 0.0000), Tl at (0.0000, 0.0000, 0.5000), Co at (0.5000, 0.5000, 0.5000) and Rh at (0.5000, 0.5000, 0.0000).



First-principles (PBE) data for an optimized crystal structure of BeVCoRh, as listed in Alexandria via LeMat-Bulk.

The calculation puts the energy above the most stable polymorph in this dataset at 26.5 meV per atom. The total magnetization comes out at 0.7 μB/f.u. The density of states at the Fermi level comes out at 0.90 states/eV per atom. The formation energy comes out at -358.6 meV per atom.

The space group is F-43m (No. 216) and the conventional cell measures 5.6921, 5.6921 and 5.6921 Å, with angles of 90.00, 90.00 and 90.00 degrees. The distinct sites, in fractional coordinates, are Be at (0.0000, 0.0000, 0.0000), V at (0.0000, 0.0000, 0.5000), Co at (0.2500, 0.2500, 0.2500) and Rh at (0.2500, 0.2500, 0.7500).



First-principles (PBE) data for an optimized crystal structure of BeVCoRh, as listed in Alexandria via LeMat-Bulk.

The calculation puts the energy above the most stable polymorph in this dataset at 0.0 meV per atom. The total magnetization comes out at 0.7 μB/f.u. The density of states at the Fermi level comes out at 0.86 states/eV per atom. The formation energy comes out at -385.1 meV per atom.

The space group is P4mm (No. 99) and the conventional cell measures 2.7941, 2.7941 and 5.7936 Å, with angles of 90.00, 90.00 and 90.00 degrees. The distinct sites, in fractional coordinates, are Be at (0.0000, 0.0000, 0.0000), V at (0.0000, 0.0000, 0.4667), Co at (0.5000, 0.5000, 0.2165) and Rh at (0.5000, 0.5000, 0.7624).



First-principles (PBE) data for an optimized crystal structure of BeZnCoRh, as listed in Alexandria via LeMat-Bulk.

The total magnetization comes out at 0.8 μB/f.u. The density of states at the Fermi level comes out at 1.39 states/eV per atom. The formation energy comes out at -204.4 meV per atom.

The space group is F-43m (No. 216) and the conventional cell measures 5.7015, 5.7015 and 5.7015 Å, with angles of 90.00, 90.00 and 90.00 degrees. The distinct sites, in fractional coordinates, are Be at (0.0000, 0.0000, 0.0000), Zn at (0.0000, 0.0000, 0.5000), Co at (0.2500, 0.2500, 0.2500) and Rh at (0.2500, 0.2500, 0.7500).



First-principles (PBE) data for an optimized crystal structure of BeCo2Ru, as listed in Alexandria via LeMat-Bulk.

The total magnetization comes out at 3.7 μB/f.u. The density of states at the Fermi level comes out at 0.89 states/eV per atom. The formation energy comes out at 328.2 meV per atom.

The space group is I-42d (No. 122) and the conventional cell measures 3.2944, 3.2944 and 17.2951 Å, with angles of 90.00, 90.00 and 90.00 degrees. The distinct sites, in fractional coordinates, are Be at (0.0000, 0.0000, 0.0000), Co at (0.2252, 0.2500, 0.1250) and Ru at (0.0000, 0.0000, 0.5000).



First-principles (PBE) data for an optimized crystal structure of BeCoRu3, as listed in Alexandria via LeMat-Bulk.

The calculation puts the energy above the most stable polymorph in this dataset at 912.0 meV per atom. The total magnetization comes out at 1.9 μB/f.u. The density of states at the Fermi level comes out at 2.18 states/eV per atom. The formation energy comes out at 1635.2 meV per atom.

The space group is Pm-3m (No. 221) and the conventional cell measures 4.3680, 4.3680 and 4.3680 Å, with angles of 90.00, 90.00 and 90.00 degrees. The distinct sites, in fractional coordinates, are Be at (0.0000, 0.0000, 0.0000), Co at (0.5000, 0.5000, 0.5000) and Ru at (0.0000, 0.5000, 0.5000).



First-principles (PBE) data for an optimized crystal structure of Be5CoRu2, as listed in Alexandria via LeMat-Bulk.

The total magnetization comes out at 0.0 μB/f.u. The density of states at the Fermi level comes out at 0.70 states/eV per atom. The formation energy comes out at -201.0 meV per atom.

The space group is I4/mmm (No. 139) and the conventional cell measures 3.8548, 3.8548 and 10.5149 Å, with angles of 90.00, 90.00 and 90.00 degrees. The distinct sites, in fractional coordinates, are Be at (0.0000, 0.0000, 0.0000), Be at (0.0000, 0.5000, 0.1180), Co at (0.0000, 0.0000, 0.5000) and Ru at (0.0000, 0.0000, 0.2493).



First-principles (PBE) data for an optimized crystal structure of BeCo2Ru, as listed in Alexandria via LeMat-Bulk.

The total magnetization comes out at 1.9 μB/f.u. The density of states at the Fermi level comes out at 1.15 states/eV per atom. The formation energy comes out at 111.3 meV per atom.

The space group is R-3m (No. 166, hexagonal axes) and the conventional cell measures 2.5684, 2.5684 and 23.2940 Å, with angles of 90.00, 90.00 and 120.00 degrees. The distinct sites, in fractional coordinates, are Be at (0.0000, 0.0000, 0.0000), Co at (0.0000, 0.0000, 0.2567) and Ru at (0.0000, 0.0000, 0.5000).